Record 1
Entry from the Alexandria database: a geometry-optimized BaTiS2Cl structure (PBE).

Unit cell a=4.8605 b=4.8605 c=4.9428 alpha=90.00 beta=90.00 gamma=90.00
Atoms (fractional coordinates):
1 Ba 0.0000 0.0000 0.0000
2 Ti 0.5000 0.5000 0.5000
3 S 0.0000 0.5000 0.5000
4 S 0.5000 0.0000 0.5000
5 Cl 0.5000 0.5000 0.0000

Summary:
- excess energy over the best structure of this formula in the dataset (eV per atom) = 0.0000
- formation energy (no corrections) (eV per atom) = -1.70
- Fermi-level density of states (states/eV per cell) = 2.16
- V (Å³ per cell) = 116.8
- size of the total moment (Bohr magnetons per cell) = 0.8

Record 2
Entry from the Alexandria database: a geometry-optimized CaCdSi2Au6 structure (PBE).

Unit cell a=10.4819 b=10.4819 c=10.4819 alpha=30.02 beta=30.02 gamma=30.02
Atoms (fractional coordinates):
1 Ca 0.0000 0.0000 0.0000
2 Cd 0.5000 0.5000 0.5000
3 Si 0.2740 0.2740 0.2740
4 Si 0.7260 0.7260 0.7260
5 Au 0.1679 0.3393 0.7534
6 Au 0.2466 0.8321 0.6607
7 Au 0.3393 0.7534 0.1679
8 Au 0.6607 0.2466 0.8321
9 Au 0.7534 0.1679 0.3393
10 Au 0.8321 0.6607 0.2466

Summary:
- formation energy (no corrections) (eV per atom) = -0.07
- Fermi-level density of states (states/eV per cell) = 3.28
- V (Å³ per cell) = 255.3
- size of the total moment (Bohr magnetons per cell) = 0.0

Record 3
Entry from the Alexandria database: a geometry-optimized Cs2GdAuCl6 structure (PBE).

Unit cell a=7.7085 b=7.7085 c=7.7085 alpha=60.00 beta=60.00 gamma=60.00
Atoms (fractional coordinates):
1 Cs 0.2500 0.2500 0.2500
2 Cs 0.7500 0.7500 0.7500
3 Gd 0.0000 0.0000 0.0000
4 Au 0.5000 0.5000 0.5000
5 Cl 0.2454 0.2454 0.7546
6 Cl 0.2454 0.7546 0.2454
7 Cl 0.2454 0.7546 0.7546
8 Cl 0.7546 0.2454 0.2454
9 Cl 0.7546 0.2454 0.7546
10 Cl 0.7546 0.7546 0.2454

Summary:
- formation energy (no corrections) (eV per atom) = -1.72
- V (Å³ per cell) = 323.9
- size of the total moment (Bohr magnetons per cell) = 6.9

Record 4
Entry from the Alexandria database: a geometry-optimized Nd6CBr3N2 structure (PBE).

Unit cell a=6.5116 b=6.5116 c=7.6905 alpha=98.12 beta=98.12 gamma=120.00
Atoms (fractional coordinates):
1 Nd 0.1043 0.4401 0.8203
2 Nd 0.2240 0.2240 0.1794
3 Nd 0.4401 0.1043 0.8203
4 Nd 0.5599 0.8957 0.1797
5 Nd 0.7760 0.7760 0.8206
6 Nd 0.8957 0.5599 0.1797
7 C 0.5000 0.5000 0.0000
8 Br 0.0000 0.0000 0.5000
9 Br 0.3350 0.6650 0.5000
10 Br 0.6650 0.3350 0.5000
11 N 0.1669 0.8331 0.0000
12 N 0.8331 0.1669 0.0000

Summary:
- formation energy (no corrections) (eV per atom) = -1.24
- Fermi-level density of states (states/eV per cell) = 1.81
- V (Å³ per cell) = 270.9
- size of the total moment (Bohr magnetons per cell) = 0.0

Record 5
Entry from the Alexandria database: a geometry-optimized AgIBr2N structure (PBE).

Unit cell a=4.3490 b=4.3490 c=8.2295 alpha=90.00 beta=90.00 gamma=90.00
Atoms (fractional coordinates):
1 Ag 0.0000 0.0000 0.0000
2 I 0.5000 0.5000 0.0000
3 Br 0.0000 0.5000 0.5000
4 Br 0.5000 0.0000 0.5000
5 N 0.0000 0.0000 0.5000

Summary:
- formation energy (no corrections) (eV per atom) = 0.85
- Fermi-level density of states (states/eV per cell) = 0.89
- V (Å³ per cell) = 155.7
- size of the total moment (Bohr magnetons per cell) = 0.9

Record 6
Entry from the Alexandria database: a geometry-optimized Na4Tb3HoTe8 structure (PBE).

Unit cell a=9.1370 b=9.1370 c=9.1370 alpha=58.07 beta=58.07 gamma=58.07
Atoms (fractional coordinates):
1 Na 0.0000 0.0000 0.0000
2 Na 0.0000 0.5000 0.5000
3 Na 0.5000 0.0000 0.5000
4 Na 0.5000 0.5000 0.0000
5 Tb 0.0000 0.0000 0.5000
6 Tb 0.0000 0.5000 0.0000
7 Tb 0.5000 0.0000 0.0000
8 Ho 0.5000 0.5000 0.5000
9 Te 0.2444 0.2444 0.2444
10 Te 0.2459 0.7432 0.7432
11 Te 0.2568 0.2568 0.7541
12 Te 0.2568 0.7541 0.2568
13 Te 0.7432 0.2459 0.7432
14 Te 0.7432 0.7432 0.2459
15 Te 0.7541 0.2568 0.2568
16 Te 0.7556 0.7556 0.7556

Summary:
- formation energy (no corrections) (eV per atom) = -1.32
- V (Å³ per cell) = 515.6
- size of the total moment (Bohr magnetons per cell) = 0.0

| no. | calculated total energy (hartree per atom) |
| --- | --- |
| 1 | -0.2089 |
| 2 | -0.1252 |
| 3 | -0.1738 |
| 4 | -0.2280 |
| 5 | -0.0870 |
| 6 | -0.1607 |